No. 1
This record from Alexandria via LeMat-Bulk describes a relaxed structure of BeCd2CuPt. The functional is PBE-GGA.

uncorrected energy	-2.34	eV per atom
space group	P4/mmm (123)
formation energy	0.8015	eV/atom
M_tot	0.000	μB/cell

Unit cell a=5.1735 b=5.1735 c=4.7822 alpha=90.00 beta=90.00 gamma=90.00
Closest atoms and distances in Å follow each position.
Fractional positions:
Be 0.0000 0.0000 0.0000  8 Cd 3.52, 4 Cu 3.66
Cd 0.0000 0.5000 0.5000  2 Pt 2.59
Cd 0.5000 0.0000 0.5000  2 Pt 2.59
Cu 0.5000 0.5000 0.0000  2 Pt 2.39
Pt 0.5000 0.5000 0.5000  2 Cu 2.39, 4 Cd 2.59

No. 2
This record from Alexandria via LeMat-Bulk describes a relaxed structure of KAc2I8. The functional is PBE-GGA.

uncorrected energy	-3.34	eV per atom
space group	C2/m (12)
formation energy from raw total energies	-1.37	eV/atom
M_tot	0.000	μB/cell

Unit cell a=9.4869 b=9.4869 c=6.4347 alpha=93.00 beta=93.00 gamma=65.88
Closest atoms and distances in Å follow each position.
Fractional positions:
K 0.0000 0.0000 0.0000  6 I 4.01
Ac 0.3025 0.3025 0.4893  8 I 3.31-3.54
Ac 0.6975 0.6975 0.5107  8 I 3.31-3.54
I 0.0611 0.6781 0.5434  2 Ac 3.37
I 0.2515 0.2515 0.9807  2 Ac 3.31-3.32
I 0.3219 0.9389 0.4566  2 Ac 3.37
I 0.4960 0.4960 0.2469  2 I 3.19-3.25, 2 Ac 3.54
I 0.5040 0.5040 0.7531  2 I 3.19-3.25, 2 Ac 3.54
I 0.6781 0.0611 0.5434  2 Ac 3.37
I 0.7485 0.7485 0.0193  2 Ac 3.31-3.32
I 0.9389 0.3219 0.4566  2 Ac 3.37

No. 3
This record from Alexandria via LeMat-Bulk describes a relaxed structure of CsLiPrI4. The functional is PBE-GGA.

uncorrected energy	-3.26	eV per atom
space group	P2_1/m (11)
formation energy from raw total energies	-1.30	eV/atom
M_tot	0.000	μB/cell

Unit cell a=6.3718 b=8.0626 c=12.5609 alpha=90.00 beta=103.90 gamma=90.00
Closest atoms and distances in Å follow each position.
Fractional positions:
Cs 0.2020 0.2500 0.3856  8 I 3.89-4.34
Cs 0.7980 0.7500 0.6144  8 I 3.89-4.34
Li 0.0678 0.2500 0.7636  4 I 2.65-2.86
Li 0.9322 0.7500 0.2364  4 I 2.65-2.86
Pr 0.4843 0.7500 0.0002  6 I 3.19-3.26
Pr 0.5157 0.2500 0.9998  6 I 3.19-3.26
I 0.0070 0.2500 0.9818  1 Li 2.86, 2 Pr 3.19
I 0.2106 0.7500 0.4305  1 Li 2.65
I 0.3823 0.5029 0.7916  1 Li 2.82
I 0.3823 0.9971 0.7916  1 Li 2.82
I 0.6177 0.0029 0.2084  1 Li 2.82
I 0.6177 0.4971 0.2084  1 Li 2.82
I 0.7894 0.2500 0.5695  1 Li 2.65
I 0.9930 0.7500 0.0182  1 Li 2.86, 2 Pr 3.19

No. 4
This record from Alexandria via LeMat-Bulk describes a relaxed structure of PmScSi2Tc. The functional is PBE-GGA.

uncorrected energy	-7.15	eV per atom
space group	I-4m2 (119)
formation energy from raw total energies	-0.69	eV/atom
M_tot	0.019	μB/cell

Unit cell a=6.4593 b=6.4593 c=6.4593 alpha=143.54 beta=143.54 gamma=52.52
Closest atoms and distances in Å follow each position.
Fractional positions:
Pm 0.0000 0.0000 0.0000  8 Si 3.10
Sc 0.2500 0.7500 0.5000  4 Si 2.64, 4 Tc 2.86
Si 0.3964 0.3964 0.0000  1 Si 2.40, 2 Tc 2.64, 2 Sc 2.64
Si 0.6036 0.6036 0.0000  1 Si 2.40, 2 Tc 2.64, 2 Sc 2.64
Tc 0.7500 0.2500 0.5000  4 Si 2.64, 4 Sc 2.86

No. 5
This record from Alexandria via LeMat-Bulk describes a relaxed structure of LiTeRh2. The functional is PBE-GGA.

uncorrected energy	-5.14	eV per atom
space group	C2/m (12)
formation energy from raw total energies	-0.20	eV/atom
M_tot	0.000	μB/cell

Unit cell a=4.5917 b=4.5917 c=4.7883 alpha=100.60 beta=100.60 gamma=39.72
Closest atoms and distances in Å follow each position.
Fractional positions:
Li 0.0000 0.0000 0.0000  6 Rh 2.62-2.76, 4 Te 2.86
Te 0.5000 0.5000 0.5000  6 Rh 2.71-2.72, 4 Li 2.86
Rh 0.2461 0.2461 0.7545  3 Li 2.62-2.76, 3 Te 2.71-2.72, 4 Rh 2.81-2.91
Rh 0.7539 0.7539 0.2455  3 Li 2.62-2.76, 3 Te 2.71-2.72, 4 Rh 2.81-2.91

No. 6
This record from Alexandria via LeMat-Bulk describes a relaxed structure of PuNi6Ge. The functional is PBE-GGA.

uncorrected energy	-6.58	eV per atom
space group	R-3m (166)
formation energy	0.1226	eV/atom
M_tot	3.477	μB/cell

Unit cell a=5.0324 b=5.0324 c=5.0324 alpha=75.87 beta=75.87 gamma=75.87
Closest atoms and distances in Å follow each position.
Fractional positions:
Pu 0.0000 0.0000 0.0000  6 Ni 2.79
Ni 0.0251 0.6444 0.6444  1 Ge 2.31, 5 Ni 2.36-2.58
Ni 0.3556 0.3556 0.9749  1 Ge 2.31, 5 Ni 2.36-2.58
Ni 0.3556 0.9749 0.3556  1 Ge 2.31, 5 Ni 2.36-2.58
Ni 0.6444 0.0251 0.6444  1 Ge 2.31, 5 Ni 2.36-2.58
Ni 0.6444 0.6444 0.0251  1 Ge 2.31, 5 Ni 2.36-2.58
Ni 0.9749 0.3556 0.3556  1 Ge 2.31, 5 Ni 2.36-2.58
Ge 0.5000 0.5000 0.5000  6 Ni 2.31

No. 7
This record from Alexandria via LeMat-Bulk describes a relaxed structure of Na2MnOs. The functional is PBE-GGA.

uncorrected energy	-4.37	eV per atom
space group	Fm-3m (225)
formation energy	1.3870	eV/atom
M_tot	5.902	μB/cell

Unit cell a=4.7640 b=4.7640 c=4.7640 alpha=60.00 beta=60.00 gamma=60.00
Closest atoms and distances in Å follow each position.
Fractional positions:
Na 0.2500 0.2500 0.2500  4 Mn 2.92, 4 Os 2.92
Na 0.7500 0.7500 0.7500  4 Mn 2.92, 4 Os 2.92
Mn 0.0000 0.0000 0.0000  8 Na 2.92
Os 0.5000 0.5000 0.5000  8 Na 2.92

No. 8
This record from Alexandria via LeMat-Bulk describes a relaxed structure of Sr2Tl2TeO6. The functional is PBE-GGA.

uncorrected energy	-5.38	eV per atom
space group	C2/m (12)
formation energy from raw total energies	-1.66	eV/atom
M_tot	0.000	μB/cell

Unit cell a=6.1773 b=6.1773 c=6.6161 alpha=97.31 beta=97.31 gamma=118.84
Closest atoms and distances in Å follow each position.
Fractional positions:
Sr 0.1644 0.8356 0.0000  6 O 2.51-2.64
Sr 0.8356 0.1644 0.0000  6 O 2.51-2.64
Tl 0.3369 0.6631 0.5000  4 O 2.73-2.78
Tl 0.6631 0.3369 0.5000  4 O 2.73-2.78
Te 0.5000 0.5000 0.0000  6 O 1.97-2.01
O 0.1835 0.4509 0.8383  1 Te 1.97
O 0.2977 0.2977 0.1923  1 Te 2.01
O 0.4509 0.1835 0.8383  1 Te 1.97
O 0.5491 0.8165 0.1617  1 Te 1.97
O 0.7023 0.7023 0.8077  1 Te 2.01
O 0.8165 0.5491 0.1617  1 Te 1.97

No. 9
This record from Alexandria via LeMat-Bulk describes a relaxed structure of Sm6BiS4. The functional is PBE-GGA.

uncorrected energy	-6.07	eV per atom
space group	Cmcm (63)
formation energy from raw total energies	-1.64	eV/atom
M_tot	0.000	μB/cell

Unit cell a=6.9297 b=6.9297 c=20.5984 alpha=90.00 beta=90.00 gamma=145.36
Closest atoms and distances in Å follow each position.
Fractional positions:
Sm 0.0000 0.0000 0.0000  6 S 2.81-2.87
Sm 0.0000 0.0000 0.5000  6 S 2.81-2.87
Sm 0.1561 0.8439 0.7500  2 S 2.76
Sm 0.2719 0.7281 0.0846  5 S 2.80-2.88
Sm 0.2719 0.7281 0.4154  5 S 2.80-2.88
Sm 0.4618 0.5382 0.6564  3 S 2.76-2.80
Sm 0.4618 0.5382 0.8436  3 S 2.76-2.80
Sm 0.5382 0.4618 0.1564  3 S 2.76-2.80
Sm 0.5382 0.4618 0.3436  3 S 2.76-2.80
Sm 0.7281 0.2719 0.5846  5 S 2.80-2.88
Sm 0.7281 0.2719 0.9154  5 S 2.80-2.88
Sm 0.8439 0.1561 0.2500  2 S 2.76
Bi 0.1601 0.8399 0.2500  6 Sm 3.19-3.25
Bi 0.8399 0.1601 0.7500  6 Sm 3.19-3.25
S 0.0949 0.9051 0.6219  6 Sm 2.76-2.82
S 0.0949 0.9051 0.8781  6 Sm 2.76-2.82
S 0.3617 0.6383 0.5386  6 Sm 2.76-2.88
S 0.3617 0.6383 0.9614  6 Sm 2.76-2.88
S 0.6383 0.3617 0.0386  6 Sm 2.76-2.88
S 0.6383 0.3617 0.4614  6 Sm 2.76-2.88
S 0.9051 0.0949 0.1219  6 Sm 2.76-2.82
S 0.9051 0.0949 0.3781  6 Sm 2.76-2.82

No. 10
This record from Alexandria via LeMat-Bulk describes a relaxed structure of YTcPCl2. The functional is PBE-GGA.

uncorrected energy	-5.45	eV per atom
space group	P4/mmm (123)
formation energy from raw total energies	-0.26	eV/atom
M_tot	0.000	μB/cell

Unit cell a=4.7814 b=4.7814 c=4.6557 alpha=90.00 beta=90.00 gamma=90.00
Closest atoms and distances in Å follow each position.
Fractional positions:
Y 0.0000 0.0000 0.0000  8 Cl 3.34, 4 P 3.38
Tc 0.5000 0.5000 0.5000  2 P 2.33, 4 Cl 2.39
P 0.5000 0.5000 0.0000  2 Tc 2.33
Cl 0.0000 0.5000 0.5000  2 Tc 2.39
Cl 0.5000 0.0000 0.5000  2 Tc 2.39

No. 11
This record from Alexandria via LeMat-Bulk describes a relaxed structure of LiFeIr. The functional is PBE-GGA.

uncorrected energy	-6.27	eV per atom
space group	P-6m2 (187)
formation energy	0.1398	eV/atom
M_tot	2.661	μB/cell

Unit cell a=4.1863 b=4.1863 c=2.6662 alpha=90.00 beta=90.00 gamma=120.00
Closest atoms and distances in Å follow each position.
Fractional positions:
Li 0.0000 0.0000 0.0000  2 Li 2.67, 6 Fe 2.76, 6 Ir 2.76
Fe 0.3333 0.6667 0.5000  3 Ir 2.42, 2 Fe 2.67
Ir 0.6667 0.3333 0.5000  3 Fe 2.42, 2 Ir 2.67

No. 12
This record from Alexandria via LeMat-Bulk describes a relaxed structure of SrOsPb2. The functional is PBE-GGA.

uncorrected energy	-4.37	eV per atom
space group	C2/m (12)
formation energy	0.7167	eV/atom
M_tot	1.158	μB/cell

Unit cell a=6.1232 b=6.1232 c=3.2954 alpha=100.80 beta=100.80 gamma=116.62
Closest atoms and distances in Å follow each position.
Fractional positions:
Sr 0.0000 0.0000 0.0000  4 Pb 3.19, 2 Os 3.22, 2 Sr 3.30
Os 0.5000 0.5000 0.0000  4 Pb 3.19, 2 Sr 3.22, 2 Os 3.30
Pb 0.0000 0.5000 0.5000  2 Os 3.19, 2 Sr 3.19, 4 Pb 3.22-3.30
Pb 0.5000 0.0000 0.5000  2 Os 3.19, 2 Sr 3.19, 4 Pb 3.22-3.30

No. 13
This record from Alexandria via LeMat-Bulk describes a relaxed structure of LiAcBi2Pd5. The functional is PBE-GGA.

uncorrected energy	-4.86	eV per atom
space group	P4/mmm (123)
formation energy	-0.4414	eV/atom
M_tot	0.000	μB/cell

Unit cell a=4.2684 b=4.2684 c=11.2098 alpha=90.00 beta=90.00 gamma=90.00
Closest atoms and distances in Å follow each position.
Fractional positions:
Li 0.0000 0.0000 0.0000  8 Bi 3.45
Ac 0.0000 0.0000 0.5000  12 Pd 3.02-3.06
Bi 0.5000 0.5000 0.1484  4 Pd 2.76
Bi 0.5000 0.5000 0.8516  4 Pd 2.76
Pd 0.0000 0.5000 0.3049  2 Bi 2.76, 6 Pd 3.02-3.06, 2 Ac 3.06
Pd 0.0000 0.5000 0.6951  2 Bi 2.76, 6 Pd 3.02-3.06, 2 Ac 3.06
Pd 0.5000 0.0000 0.3049  2 Bi 2.76, 6 Pd 3.02-3.06, 2 Ac 3.06
Pd 0.5000 0.0000 0.6951  2 Bi 2.76, 6 Pd 3.02-3.06, 2 Ac 3.06
Pd 0.5000 0.5000 0.5000  4 Ac 3.02, 8 Pd 3.06

No. 14
This record from Alexandria via LeMat-Bulk describes a relaxed structure of Na2PAuSe4. The functional is PBE-GGA.

uncorrected energy	-3.61	eV per atom
space group	C2 (5)
formation energy from raw total energies	-0.46	eV/atom
M_tot	0.000	μB/cell

Unit cell a=6.9579 b=6.9579 c=6.6128 alpha=118.34 beta=118.34 gamma=95.57
Closest atoms and distances in Å follow each position.
Fractional positions:
Na 0.0000 0.0000 0.0000  4 Se 3.07
Na 0.7500 0.2500 0.5000  4 Se 2.85
P 0.4995 0.5005 0.0000  4 Se 2.25
Au 0.2493 0.7507 0.5000  4 Se 2.62
Se 0.1937 0.4347 0.0295  1 P 2.25
Se 0.4046 0.1654 0.5993  1 P 2.25
Se 0.5653 0.8063 0.9705  1 P 2.25
Se 0.8346 0.5954 0.4007  1 P 2.25

No. 15
This record from Alexandria via LeMat-Bulk describes a relaxed structure of ZrHgSe2. The functional is PBE-GGA.

uncorrected energy	-4.94	eV per atom
space group	P2_1/m (11)
formation energy from raw total energies	-0.99	eV/atom
M_tot	0.000	μB/cell

Unit cell a=6.5621 b=3.7906 c=9.9533 alpha=90.00 beta=91.49 gamma=90.00
Closest atoms and distances in Å follow each position.
Fractional positions:
Zr 0.2500 0.2500 0.0000  6 Se 2.71
Zr 0.7500 0.7500 0.0000  6 Se 2.71
Hg 0.2476 0.2500 0.4999  6 Hg 3.76-3.82, 6 Se 3.98-4.10
Hg 0.7524 0.7500 0.5001  6 Hg 3.76-3.82, 6 Se 3.98-4.10
Se 0.0897 0.7500 0.1607  3 Zr 2.71
Se 0.4103 0.7500 0.8392  3 Zr 2.71
Se 0.5897 0.2500 0.1608  3 Zr 2.71
Se 0.9103 0.2500 0.8393  3 Zr 2.71

No. 16
This record from Alexandria via LeMat-Bulk describes a relaxed structure of CaSCl. The functional is PBE-GGA.

uncorrected energy	-4.46	eV per atom
space group	P-1 (2)
formation energy from raw total energies	-1.80	eV/atom
M_tot	0.000	μB/cell

Unit cell a=4.2096 b=5.0680 c=8.0361 alpha=73.19 beta=82.46 gamma=68.55
Closest atoms and distances in Å follow each position.
Fractional positions:
Ca 0.1403 0.0718 0.2399  3 S 2.81-2.83, 4 Cl 2.86-3.01
Ca 0.8597 0.9282 0.7601  3 S 2.81-2.83, 4 Cl 2.86-3.01
S 0.4722 0.7922 0.5583  1 S 2.13
S 0.5278 0.2078 0.4417  1 S 2.13
Cl 0.1707 0.2680 0.8685  4 Ca 2.86-3.01
Cl 0.8293 0.7320 0.1315  4 Ca 2.86-3.01

No. 17
This record from Alexandria via LeMat-Bulk describes a relaxed structure of SrAs2Rh2. The functional is PBE-GGA.

uncorrected energy	-5.94	eV per atom
space group	C2/m (12)
formation energy	-0.8041	eV/atom
M_tot	0.000	μB/cell

Unit cell a=4.0894 b=4.0894 c=6.7000 alpha=107.62 beta=107.62 gamma=90.01
Closest atoms and distances in Å follow each position.
Fractional positions:
Sr 0.0000 0.0000 0.0000  8 As 3.31-3.33, 8 Rh 3.65-3.66
As 0.3639 0.3639 0.7300  4 Rh 2.47
As 0.6361 0.6361 0.2700  4 Rh 2.47
Rh 0.2501 0.7499 0.5000  4 As 2.47
Rh 0.7499 0.2501 0.5000  4 As 2.47

No. 18
This record from Alexandria via LeMat-Bulk describes a relaxed structure of ReRuRh2. The functional is PBE-GGA.

uncorrected energy	-8.77	eV per atom
space group	F-43m (216)
formation energy	0.3395	eV/atom
M_tot	0.237	μB/cell

Unit cell a=4.3523 b=4.3523 c=4.3523 alpha=60.00 beta=60.00 gamma=60.00
Closest atoms and distances in Å follow each position.
Fractional positions:
Re 0.0000 0.0000 0.0000  4 Rh 2.67, 4 Ru 2.67
Ru 0.2500 0.2500 0.2500  4 Re 2.67, 4 Rh 2.67
Rh 0.5000 0.5000 0.5000  4 Ru 2.67, 4 Rh 2.67
Rh 0.7500 0.7500 0.7500  4 Re 2.67, 4 Rh 2.67

No. 19
This record from Alexandria via LeMat-Bulk describes a relaxed structure of ThSi2Os3. The functional is PBE-GGA.

uncorrected energy	-9.17	eV per atom
space group	C2/m (12)
formation energy from raw total energies	-0.51	eV/atom
M_tot	0.000	μB/cell

Unit cell a=8.1580 b=8.1580 c=7.2930 alpha=116.13 beta=116.13 gamma=28.66
Closest atoms and distances in Å follow each position.
Fractional positions:
Th 0.1501 0.1501 0.0676  7 Si 3.13-3.23, 7 Os 3.20-3.44
Th 0.8499 0.8499 0.9324  7 Si 3.13-3.23, 7 Os 3.20-3.44
Si 0.1891 0.1891 0.6697  6 Os 2.41-2.63
Si 0.4787 0.4787 0.8213  1 Si 2.38, 4 Os 2.40-2.49
Si 0.5213 0.5213 0.1787  1 Si 2.38, 4 Os 2.40-2.49
Si 0.8109 0.8109 0.3303  6 Os 2.41-2.63
Os 0.0361 0.0361 0.3721  3 Si 2.41, 1 Os 2.59
Os 0.3156 0.3156 0.5652  4 Si 2.40-2.63
Os 0.4104 0.4104 0.3358  3 Si 2.49-2.55, 6 Os 2.71-2.77
Os 0.5896 0.5896 0.6642  3 Si 2.49-2.55, 6 Os 2.71-2.77
Os 0.6844 0.6844 0.4348  4 Si 2.40-2.63
Os 0.9639 0.9639 0.6279  3 Si 2.41, 1 Os 2.59

No. 20
This record from Alexandria via LeMat-Bulk describes a relaxed structure of K3HfPt. The functional is PBE-GGA.

uncorrected energy	-2.20	eV per atom
space group	Pm-3m (221)
formation energy	1.6606	eV/atom
M_tot	3.000	μB/cell

Unit cell a=6.3920 b=6.3920 c=6.3920 alpha=90.00 beta=90.00 gamma=90.00
Closest atoms and distances in Å follow each position.
Fractional positions:
K 0.0000 0.0000 0.5000  2 Hf 3.20
K 0.0000 0.5000 0.0000  2 Hf 3.20
K 0.5000 0.0000 0.0000  2 Hf 3.20
Hf 0.0000 0.0000 0.0000  6 K 3.20
Pt 0.5000 0.5000 0.5000  12 K 4.52